A plane-wave DFT calculation with PBE-GGA was carried out for crystalline Zr2CdI at its relaxed geometry.

```
data_Zr2CdI
_chemical_formula_sum 'Zr8 Cd4 I4'
_symmetry_space_group_name_H-M 'F m -3 m'
_symmetry_Int_Tables_number 225
_symmetry_space_group_name_Hall '-F 4 2 3'
_cell_length_a 7.1533
_cell_length_b 7.1533
_cell_length_c 7.1533
_cell_angle_alpha 90.00
_cell_angle_beta 90.00
_cell_angle_gamma 90.00
loop_
_atom_site_label
_atom_site_type_symbol
_atom_site_fract_x
_atom_site_fract_y
_atom_site_fract_z
Zr1 Zr 0.2500 0.2500 0.2500
Cd1 Cd 0.0000 0.0000 0.0000
I1 I 0.0000 0.0000 0.5000
```

## Properties
Formation energy without anion corrections   0.14 eV/atom
Total DFT energy (no corrections)   -4.746 eV per atom
Energy above the most stable polymorph in this dataset   0.000 eV per atom